(1)
Below is a geometry-optimized BaMg2Si structure, with properties calculated at the PBE level.

Unit cell a=12.9888 b=3.3032 c=5.8546 alpha=90.00 beta=116.20 gamma=90.00
Space group C2/m (No. 12)
Symmetry-distinct sites (fractional):
Ba1 0.0000 0.0000 0.0000
Mg1 0.1980 0.0000 0.6963
Si1 0.0000 0.5000 0.5000

Results
Energy above the most stable polymorph in this dataset (eV/f.u.): 1.00
Uncorrected formation energy (eV/atom): 0.02



(2)
Below is a geometry-optimized Ba3Mg2Si2 structure, with properties calculated at the PBE level.

Unit cell a=6.6879 b=9.2670 c=14.7687 alpha=90.00 beta=90.00 gamma=90.00
Space group Pbcm (No. 57)
Symmetry-distinct sites (fractional):
Ba1 0.0983 0.1463 0.1088
Ba2 0.3568 0.7236 0.7500
Mg1 0.3832 0.0200 0.5879
Si1 0.1678 0.0685 0.7500
Si2 0.4110 0.7500 0.0000

Results
Uncorrected formation energy (eV/atom): -0.20



(3)
Below is a geometry-optimized BaMg6Si structure, with properties calculated at the PBE level.

Unit cell a=4.7005 b=6.2504 c=14.3551 alpha=90.00 beta=90.00 gamma=90.00
Space group Amm2 (No. 38)
Symmetry-distinct sites (fractional):
Ba1 0.0000 0.0000 0.0000
Mg1 0.0000 0.0000 0.4148
Mg2 0.0000 0.2428 0.7143
Mg3 0.5000 0.0000 0.5810
Mg4 0.5000 0.2451 0.8391
Si1 0.5000 0.0000 0.1710

Results
Energy above the most stable polymorph in this dataset (eV/f.u.): 0.00
Uncorrected formation energy (eV/atom): 0.03



(4)
Below is a geometry-optimized Ba2MgSi structure, with properties calculated at the PBE level.

Unit cell a=5.7602 b=5.7602 c=4.3094 alpha=90.00 beta=90.00 gamma=90.00
Space group P4/mmm (No. 123)
Symmetry-distinct sites (fractional):
Ba1 0.0000 0.5000 0.0000
Mg1 0.0000 0.0000 0.5000
Si1 0.5000 0.5000 0.5000

Results
Energy above the most stable polymorph in this dataset (eV/f.u.): 0.52
Uncorrected formation energy (eV/atom): -0.05



(5)
Below is a geometry-optimized BaMgSi structure, with properties calculated at the PBE level.

Unit cell a=4.6586 b=4.6586 c=7.9105 alpha=90.00 beta=90.00 gamma=90.00
Space group P4/nmm (No. 129, origin choice 2)
Symmetry-distinct sites (fractional):
Ba1 0.2500 0.2500 0.1626
Mg1 0.2500 0.7500 0.5000
Si1 0.2500 0.2500 0.7037

Results
Uncorrected formation energy (eV/atom): -0.39



(6)
Below is a geometry-optimized Ba2MgSi structure, with properties calculated at the PBE level.

Unit cell a=3.8916 b=3.8916 c=9.7702 alpha=90.00 beta=90.00 gamma=90.00
Space group P4mm (No. 99)
Symmetry-distinct sites (fractional):
Ba1 0.0000 0.0000 0.0000
Ba2 0.5000 0.5000 0.4072
Mg1 0.0000 0.0000 0.6583
Si1 0.5000 0.5000 0.7743

Results
Energy above the most stable polymorph in this dataset (eV/f.u.): 0.90
Uncorrected formation energy (eV/atom): 0.04



(7)
Below is a geometry-optimized BaMg2Si structure, with properties calculated at the PBE level.

Unit cell a=4.6019 b=4.6019 c=10.7424 alpha=90.00 beta=90.00 gamma=90.00
Space group P4/nmm (No. 129, origin choice 2)
Symmetry-distinct sites (fractional):
Ba1 0.2500 0.2500 0.2471
Mg1 0.2500 0.2500 0.9218
Mg2 0.2500 0.7500 0.5000
Si1 0.2500 0.2500 0.6495

Results
Energy above the most stable polymorph in this dataset (eV/f.u.): 0.00
Uncorrected formation energy (eV/atom): -0.23



(8)
Below is a geometry-optimized BaMgSi structure, with properties calculated at the PBE level.

Unit cell a=17.3629 b=5.2483 c=4.0901 alpha=90.00 beta=103.58 gamma=90.00
Space group C2 (No. 5)
Symmetry-distinct sites (fractional):
Ba1 0.1028 0.0000 0.3525
Mg1 0.2034 0.5006 0.9514
Si1 0.0401 0.4995 0.7898

Results
Uncorrected formation energy (eV/atom): -0.26



(9)
Below is a geometry-optimized BaMgSi structure, with properties calculated at the PBE level.

Unit cell a=8.2281 b=4.8027 c=8.5564 alpha=90.00 beta=90.00 gamma=90.00
Space group Pnma (No. 62)
Symmetry-distinct sites (fractional):
Ba1 0.0132 0.2500 0.1818
Mg1 0.1435 0.2500 0.5678
Si1 0.2022 0.7500 0.3932

Results
Uncorrected formation energy (eV/atom): -0.34



(10)
Below is a geometry-optimized BaMg2Si structure, with properties calculated at the PBE level.

Unit cell a=4.1018 b=5.6540 c=10.0041 alpha=90.00 beta=90.00 gamma=90.00
Space group Immm (No. 71)
Symmetry-distinct sites (fractional):
Ba1 0.0000 0.0000 0.0000
Mg1 0.0000 0.5000 0.1923
Si1 0.0000 0.0000 0.5000

Results
Energy above the most stable polymorph in this dataset (eV/f.u.): 1.10
Uncorrected formation energy (eV/atom): 0.05



(11)
Below is a geometry-optimized BaMg2Si structure, with properties calculated at the PBE level.

Unit cell a=7.4356 b=7.4356 c=7.4356 alpha=90.00 beta=90.00 gamma=90.00
Space group Fm-3m (No. 225)
Symmetry-distinct sites (fractional):
Ba1 0.0000 0.0000 0.0000
Mg1 0.2500 0.2500 0.2500
Si1 0.0000 0.0000 0.5000

Results
Energy above the most stable polymorph in this dataset (eV/f.u.): 1.37
Uncorrected formation energy (eV/atom): 0.11



(12)
Below is a geometry-optimized BaMg2Si structure, with properties calculated at the PBE level.

Unit cell a=4.5636 b=4.5636 c=19.7691 alpha=90.00 beta=90.00 gamma=120.00
Space group R-3m (No. 166, hexagonal axes)
Symmetry-distinct sites (fractional):
Ba1 0.0000 0.0000 0.0000
Mg1 0.0000 0.0000 0.2064
Si1 0.0000 0.0000 0.5000

Results
Energy above the most stable polymorph in this dataset (eV/f.u.): 0.63
Uncorrected formation energy (eV/atom): -0.07



(13)
Below is a geometry-optimized BaMgSi structure, with properties calculated at the PBE level.

Unit cell a=4.6474 b=4.6474 c=4.9669 alpha=90.00 beta=90.00 gamma=120.00
Space group P-6m2 (No. 187)
Symmetry-distinct sites (fractional):
Ba1 0.0000 0.0000 0.0000
Mg1 0.6667 0.3333 0.5000
Si1 0.3333 0.6667 0.5000

Results
Uncorrected formation energy (eV/atom): -0.27



(14)
Below is a geometry-optimized BaMg2Si structure, with properties calculated at the PBE level.

Unit cell a=5.0738 b=4.5711 c=5.7623 alpha=90.00 beta=106.21 gamma=90.00
Space group P2/m (No. 10)
Symmetry-distinct sites (fractional):
Ba1 0.0000 0.0000 0.0000
Mg1 0.3970 0.5000 0.7112
Si1 0.5000 0.0000 0.5000

Results
Energy above the most stable polymorph in this dataset (eV/f.u.): 0.91
Uncorrected formation energy (eV/atom): 0.00



(15)
Below is a geometry-optimized BaMg5Si3 structure, with properties calculated at the PBE level.

Unit cell a=4.4192 b=14.4439 c=13.1997 alpha=90.00 beta=90.00 gamma=90.00
Space group Cmcm (No. 63)
Symmetry-distinct sites (fractional):
Ba1 0.0000 0.1594 0.2500
Mg1 0.0000 0.0000 0.0000
Mg2 0.0000 0.1940 0.5637
Mg3 0.0000 0.4489 0.1418
Si1 0.0000 0.1013 0.7500
Si2 0.0000 0.3783 0.5489

Results
Uncorrected formation energy (eV/atom): -0.22



(16)
Below is a geometry-optimized BaMg6Si structure, with properties calculated at the PBE level.

Unit cell a=4.9079 b=6.1017 c=14.3296 alpha=90.00 beta=90.00 gamma=90.00
Space group Amm2 (No. 38)
Symmetry-distinct sites (fractional):
Ba1 0.0000 0.0000 0.0000
Mg1 0.0000 0.2403 0.7350
Mg2 0.5000 0.0000 0.1711
Mg3 0.5000 0.0000 0.5946
Mg4 0.5000 0.2454 0.3696
Si1 0.0000 0.0000 0.3967

Results
Energy above the most stable polymorph in this dataset (eV/f.u.): 0.03
Uncorrected formation energy (eV/atom): 0.03



(17)
Below is a geometry-optimized BaMg2SiTc structure, with properties calculated at the PBE level.

Unit cell a=5.1682 b=5.1682 c=4.7622 alpha=90.00 beta=90.00 gamma=90.00
Space group P4/mmm (No. 123)
Symmetry-distinct sites (fractional):
Ba1 0.0000 0.0000 0.0000
Mg1 0.0000 0.5000 0.5000
Si1 0.5000 0.5000 0.0000
Tc1 0.5000 0.5000 0.5000

Results
Uncorrected formation energy (eV/atom): -0.07



(18)
Below is a geometry-optimized Ba2MgZn3Si4 structure, with properties calculated at the PBE level.

Unit cell a=4.4655 b=4.4655 c=10.9148 alpha=90.00 beta=90.00 gamma=90.00
Space group P-4m2 (No. 115)
Symmetry-distinct sites (fractional):
Ba1 0.0000 0.5000 0.2444
Mg1 0.0000 0.0000 0.5000
Zn1 0.0000 0.5000 0.8745
Zn2 0.5000 0.5000 0.5000
Si1 0.0000 0.0000 0.0000
Si2 0.0000 0.5000 0.6380
Si3 0.5000 0.5000 0.0000

Results
Uncorrected formation energy (eV/atom): -0.26



(19)
Below is a geometry-optimized Ba2MgZn4Si3 structure, with properties calculated at the PBE level.

Unit cell a=4.4449 b=4.4449 c=11.0378 alpha=90.00 beta=90.00 gamma=90.00
Space group P-4m2 (No. 115)
Symmetry-distinct sites (fractional):
Ba1 0.0000 0.5000 0.2358
Mg1 0.0000 0.0000 0.5000
Zn1 0.0000 0.0000 0.0000
Zn2 0.0000 0.5000 0.6410
Zn3 0.5000 0.5000 0.0000
Si1 0.0000 0.5000 0.8751
Si2 0.5000 0.5000 0.5000

Results
Uncorrected formation energy (eV/atom): -0.25



(20)
Below is a geometry-optimized BaSmMg17 structure, with properties calculated at the PBE level.

Unit cell a=10.4396 b=10.4396 c=15.3942 alpha=90.00 beta=90.00 gamma=120.00
Space group R3m (No. 160, hexagonal axes)
Symmetry-distinct sites (fractional):
Ba1 0.0000 0.0000 0.0000
Sm1 0.0000 0.0000 0.6656
Mg1 0.0000 0.0000 0.2408
Mg2 0.0000 0.0000 0.4374
Mg3 0.0017 0.5008 0.8362
Mg4 0.0038 0.2997 0.3364
Mg5 0.0042 0.5021 0.1847
Mg6 0.0143 0.5071 0.4884

Results
E_form (eV per atom): -0.05